First-principles (PBE) data for Hf2Sc2Sb2N after structural relaxation, as listed in Alexandria. Values from VASP.

Results
SG: I4/mmm (139)
Crystal system: tetragonal
Magnetization (μB/atom): 0.000
Uncorrected energy (Ry per atom): -0.58642

Structure (Quantum ESPRESSO input):
```
&SYSTEM
  ibrav = 0, nat = 7, ntyp = 4
/
ATOMIC_SPECIES
Hf 178.49 Hf.upf
Sc 44.96 Sc.upf
Sb 121.76 Sb.upf
N 14.01 N.upf
CELL_PARAMETERS angstrom
-2.172 2.172 7.552
2.172 -2.172 7.552
2.172 2.172 -7.552
ATOMIC_POSITIONS angstrom
Hf 2.172 0.000 0.000
Hf 0.000 2.172 0.000
Sc 0.000 0.000 2.390
Sc 0.000 0.000 12.713
Sb 0.000 0.000 5.359
Sb 0.000 0.000 9.745
N 0.000 0.000 0.000
```

---

First-principles (PBE) data for KFeP2S8 after structural relaxation, as listed in Alexandria. Values from VASP.

Results
SG: P-3 (147)
Crystal system: trigonal
Magnetization (μB/atom): 0.251
Uncorrected energy (Ry per atom): -0.34713

Structure (Quantum ESPRESSO input):
```
&SYSTEM
  ibrav = 0, nat = 12, ntyp = 4
/
ATOMIC_SPECIES
K 39.10 K.upf
Fe 55.84 Fe.upf
P 30.97 P.upf
S 32.06 S.upf
CELL_PARAMETERS angstrom
5.766 0.000 0.000
-2.883 4.994 0.000
0.000 0.000 9.673
ATOMIC_POSITIONS angstrom
K 0.000 0.000 0.000
Fe 0.000 0.000 4.837
P 0.000 3.329 6.774
P 2.883 1.665 2.900
S -1.906 3.434 3.478
S 0.862 1.626 3.478
S 1.839 0.066 6.196
S 0.000 3.329 8.769
S 2.883 1.665 0.905
S 1.044 4.927 3.478
S 2.021 3.368 6.196
S 4.789 1.560 6.196
```

---

First-principles (PBE) data for KCa2Cr after structural relaxation, as listed in Alexandria. Values from VASP.

Results
SG: I-4m2 (119)
Energy relative to the lowest polymorph listed for this composition (meV/atom): 200
Crystal system: tetragonal
Magnetization (μB/atom): 1.207
Uncorrected energy (Ry per atom): -0.22435
Formation enthalpy at 0 K (eV per atom): 0.629

Structure (Quantum ESPRESSO input):
```
&SYSTEM
  ibrav = 0, nat = 4, ntyp = 3
/
ATOMIC_SPECIES
K 39.10 K.upf
Ca 40.08 Ca.upf
Cr 52.00 Cr.upf
CELL_PARAMETERS angstrom
-2.590 2.590 5.599
2.590 -2.590 5.599
2.590 2.590 -5.599
ATOMIC_POSITIONS angstrom
K 0.000 0.000 0.000
Ca 2.590 0.000 2.799
Ca 0.000 0.000 5.599
Cr 0.000 2.590 2.799
```

---

First-principles (PBE) data for BaCdRhN2 after structural relaxation, as listed in Alexandria. Values from VASP.

Results
SG: P4/mmm (123)
Crystal system: tetragonal
Magnetization (μB/atom): 0.522
Uncorrected energy (Ry per atom): -0.33553

Structure (Quantum ESPRESSO input):
```
&SYSTEM
  ibrav = 0, nat = 5, ntyp = 4
/
ATOMIC_SPECIES
Ba 137.33 Ba.upf
Cd 112.41 Cd.upf
Rh 102.91 Rh.upf
N 14.01 N.upf
CELL_PARAMETERS angstrom
4.320 0.000 0.000
0.000 4.320 0.000
0.000 0.000 5.027
ATOMIC_POSITIONS angstrom
Ba 0.000 0.000 0.000
Cd 2.160 2.160 0.000
Rh 2.160 2.160 2.514
N 0.000 2.160 2.514
N 2.160 0.000 2.514
```

---

First-principles (PBE) data for Ba12Ag6Pt after structural relaxation, as listed in Alexandria. Values from VASP.

Results
SG: R-3 (148)
Crystal system: trigonal
Magnetization (μB/atom): 0.000
Uncorrected energy (Ry per atom): -0.19533
Formation enthalpy at 0 K (eV per atom): -0.225

Structure (Quantum ESPRESSO input):
```
&SYSTEM
  ibrav = 0, nat = 19, ntyp = 3
/
ATOMIC_SPECIES
Ba 137.33 Ba.upf
Ag 107.87 Ag.upf
Pt 195.08 Pt.upf
CELL_PARAMETERS angstrom
7.430 4.290 4.679
-7.430 4.290 4.679
0.000 -8.580 4.679
ATOMIC_POSITIONS angstrom
Ba -6.578 -1.782 7.685
Ba -1.746 -6.587 6.352
Ba -2.962 -0.359 5.504
Ba -4.832 4.805 6.352
Ba 1.791 -2.385 5.504
Ba -1.170 -2.744 8.532
Ba 1.170 2.744 5.504
Ba -1.791 2.385 8.532
Ba 4.832 -4.805 7.685
Ba 2.962 0.359 8.532
Ba 1.746 6.588 7.685
Ba 6.578 1.782 6.352
Ag -1.309 -3.466 4.987
Ag -2.347 2.866 4.987
Ag -3.656 -0.599 9.050
Ag 3.656 0.599 4.987
Ag 2.347 -2.866 9.050
Ag 1.309 3.466 9.050
Pt 0.000 0.000 0.000
```

---

First-principles (PBE) data for Li2Hg6Pd3 after structural relaxation, as listed in Alexandria. Values from VASP.

Results
SG: I4/mmm (139)
Crystal system: tetragonal
Magnetization (μB/atom): 0.000
Uncorrected energy (Ry per atom): -0.15016
Formation enthalpy at 0 K (eV per atom): -0.114

Structure (Quantum ESPRESSO input):
```
&SYSTEM
  ibrav = 0, nat = 11, ntyp = 3
/
ATOMIC_SPECIES
Li 6.94 Li.upf
Hg 200.59 Hg.upf
Pd 106.42 Pd.upf
CELL_PARAMETERS angstrom
-2.246 2.246 12.592
2.246 -2.246 12.592
2.246 2.246 -12.592
ATOMIC_POSITIONS angstrom
Li 0.000 0.000 3.807
Li 0.000 0.000 21.376
Hg 2.246 0.000 1.668
Hg 0.000 0.000 6.630
Hg 2.246 0.000 10.923
Hg 0.000 2.246 1.668
Hg 0.000 0.000 18.553
Hg 0.000 2.246 10.923
Pd 0.000 0.000 9.329
Pd 0.000 0.000 12.592
Pd 0.000 0.000 15.854
```

---

First-principles (PBE) data for KAlIr2 after structural relaxation, as listed in Alexandria. Values from VASP.

Results
SG: R3m (160)
Crystal system: trigonal
Magnetization (μB/atom): 0.000
Uncorrected energy (Ry per atom): -0.38695
Formation enthalpy at 0 K (eV per atom): 0.376

Structure (Quantum ESPRESSO input):
```
&SYSTEM
  ibrav = 0, nat = 4, ntyp = 3
/
ATOMIC_SPECIES
K 39.10 K.upf
Al 26.98 Al.upf
Ir 192.22 Ir.upf
CELL_PARAMETERS angstrom
1.419 0.819 10.187
-1.419 0.819 10.187
0.000 -1.638 10.187
ATOMIC_POSITIONS angstrom
K 0.000 0.000 0.000
Al 0.000 0.000 7.084
Ir 0.000 0.000 15.230
Ir 0.000 0.000 23.208
```

---

First-principles (PBE) data for Ta2Ti2Pt after structural relaxation, as listed in Alexandria. Values from VASP.

Results
SG: P4/mbm (127)
Energy relative to the lowest polymorph listed for this composition (meV/atom): 384
Crystal system: tetragonal
Magnetization (μB/atom): 0.000
Uncorrected energy (Ry per atom): -0.67311
Formation enthalpy at 0 K (eV per atom): -0.051

Structure (Quantum ESPRESSO input):
```
&SYSTEM
  ibrav = 0, nat = 10, ntyp = 3
/
ATOMIC_SPECIES
Ta 180.95 Ta.upf
Ti 47.87 Ti.upf
Pt 195.08 Pt.upf
CELL_PARAMETERS angstrom
6.627 0.000 0.000
0.000 6.627 0.000
0.000 0.000 3.977
ATOMIC_POSITIONS angstrom
Ta 1.092 2.221 0.000
Ta 2.221 5.535 0.000
Ta 4.406 1.092 0.000
Ta 5.535 4.406 0.000
Ti 0.923 4.237 1.988
Ti 2.390 0.923 1.988
Ti 4.237 5.703 1.988
Ti 5.703 2.390 1.988
Pt 0.000 0.000 1.988
Pt 3.313 3.313 1.988
```